No. 1
! Dy2Ga4Cu3 (GGA-PBE, relaxed); values from VASP
! - total moment (μB per formula unit) = 0.00
! - formation enthalpy at 0 K (eV per formula unit) = -3.77
! - E (eV/atom) = -4.1523
! - crystal system = orthorhombic
&SYSTEM
  ibrav = 0, nat = 18, ntyp = 3
/
ATOMIC_SPECIES
Dy 162.50 Dy.upf
Ga 69.72 Ga.upf
Cu 63.55 Cu.upf
ATOMIC_POSITIONS crystal
Dy 0.109 0.597 0.217
Dy 0.891 0.403 0.783
Dy 0.391 0.097 0.783
Dy 0.609 0.903 0.217
Ga 0.687 0.750 0.873
Ga 0.813 0.250 0.127
Ga 0.313 0.250 0.127
Ga 0.187 0.750 0.873
Ga 0.178 0.985 0.356
Ga 0.822 0.015 0.644
Ga 0.322 0.485 0.644
Ga 0.678 0.515 0.356
Cu 0.000 0.000 0.000
Cu 0.500 0.500 0.000
Cu 0.518 0.750 0.536
Cu 0.982 0.250 0.464
Cu 0.482 0.250 0.464
Cu 0.018 0.750 0.536
CELL_PARAMETERS angstrom
-4.001 -1.594 3.583
4.886 -4.518 3.447
3.902 6.363 2.808

No. 2
! Dy4GaCu2 (GGA-PBE, relaxed); values from VASP
! - total moment (μB per formula unit) = 0.00
! - ΔE to the lowest computed polymorph (meV per atom) = 0
! - formation enthalpy at 0 K (eV per formula unit) = -1.74
! - E (eV/atom) = -4.4818
! - crystal system = triclinic
&SYSTEM
  ibrav = 0, nat = 14, ntyp = 3
/
ATOMIC_SPECIES
Dy 162.50 Dy.upf
Ga 69.72 Ga.upf
Cu 63.55 Cu.upf
ATOMIC_POSITIONS crystal
Dy 0.042 0.280 0.414
Dy 0.421 0.535 0.258
Dy 0.894 0.664 0.667
Dy 0.688 0.083 0.597
Dy 0.237 0.942 0.191
Dy 0.287 0.160 0.800
Dy 0.537 0.796 0.918
Dy 0.826 0.469 0.067
Ga 0.234 0.760 0.498
Ga 0.974 0.114 0.980
Cu 0.492 0.377 0.597
Cu 0.880 0.845 0.372
Cu 0.621 0.253 0.266
Cu 0.117 0.472 0.874
CELL_PARAMETERS angstrom
-0.267 -0.958 7.311
0.133 -6.453 -3.081
6.692 3.485 -1.801

No. 3
! Dy2Ga2Cu3 (GGA-PBE, relaxed); values from VASP
! - total moment (μB per formula unit) = 0.00
! - formation enthalpy at 0 K (eV per formula unit) = -2.93
! - E (eV/atom) = -4.3533
! - crystal system = monoclinic
&SYSTEM
  ibrav = 0, nat = 7, ntyp = 3
/
ATOMIC_SPECIES
Dy 162.50 Dy.upf
Ga 69.72 Ga.upf
Cu 63.55 Cu.upf
ATOMIC_POSITIONS crystal
Dy 0.857 0.714 0.239
Dy 0.143 0.286 0.761
Ga 0.853 0.705 0.763
Ga 0.147 0.295 0.237
Cu 0.500 0.000 0.000
Cu 0.599 0.197 0.422
Cu 0.401 0.803 0.578
CELL_PARAMETERS angstrom
-1.383 -0.320 3.896
-3.964 -1.094 -3.704
3.826 -5.127 0.937

No. 4
! DyGa6Cu4 (GGA-PBE, relaxed); values from VASP
! - total moment (μB per formula unit) = 0.00
! - formation enthalpy at 0 K (eV per formula unit) = -2.52
! - E (eV/atom) = -3.7884
! - crystal system = hexagonal
&SYSTEM
  ibrav = 0, nat = 11, ntyp = 3
/
ATOMIC_SPECIES
Dy 162.50 Dy.upf
Ga 69.72 Ga.upf
Cu 63.55 Cu.upf
ATOMIC_POSITIONS crystal
Dy 0.000 0.000 0.000
Ga 0.000 0.534 0.069
Ga 0.500 0.607 0.803
Ga 0.000 0.534 0.466
Ga 0.000 0.931 0.466
Ga 0.500 0.197 0.803
Ga 0.500 0.197 0.393
Cu 0.500 0.792 0.583
Cu 0.500 0.417 0.208
Cu 0.500 0.792 0.208
Cu 0.000 0.333 0.667
CELL_PARAMETERS angstrom
-1.604 -3.069 -2.013
0.693 -4.144 5.764
-5.975 3.770 -0.984